A relaxed KAl3Tc crystal. Source: Alexandria via LeMat-Bulk, functional GGA-PBE.

abc: 4.8840 4.8840 4.8840
angles: 90.00 90.00 90.00
With the nearest neighbours (Å) after each atom.
Element x y z (fractional)
K  0.0000  0.0000  0.0000  12 Al 3.45
Al  0.0000  0.5000  0.5000  2 Tc 2.44
Al  0.5000  0.0000  0.5000  2 Tc 2.44
Al  0.5000  0.5000  0.0000  2 Tc 2.44
Tc  0.5000  0.5000  0.5000  6 Al 2.44

Results
The magnetization is 0.000 μB per formula unit. For the formation energy, the calculation gives -0.049 eV per atom. For the energy relative to the lowest polymorph listed for this composition, the calculation gives 0 meV per atom.

A relaxed Tl2Zn crystal. Source: Alexandria via LeMat-Bulk, functional GGA-PBE.

abc: 5.9885 5.9885 8.7395
angles: 113.98 113.98 33.79
With the nearest neighbours (Å) after each atom.
Element x y z (fractional)
Tl  0.0126  0.0126  0.2014  5 Zn 3.12-3.32, 4 Tl 3.37-3.48
Tl  0.3370  0.3370  0.3933  2 Zn 3.10, 2 Tl 3.37-3.39
Tl  0.6630  0.6630  0.6067  2 Zn 3.10, 2 Tl 3.37-3.39
Tl  0.9874  0.9874  0.7986  5 Zn 3.12-3.32, 4 Tl 3.37-3.48
Zn  0.2994  0.2994  0.9275  2 Zn 2.67
Zn  0.7006  0.7006  0.0725  2 Zn 2.67

Results
The magnetization is 0.000 μB per formula unit. For the formation energy, the calculation gives 0.105 eV per atom. For the energy relative to the lowest polymorph listed for this composition, the calculation gives 28 meV per atom.

A relaxed SmDyHoHg crystal. Source: Alexandria via LeMat-Bulk, functional GGA-PBE.

abc: 5.4294 5.4294 5.4294
angles: 60.00 60.00 60.00
With the nearest neighbours (Å) after each atom.
Element x y z (fractional)
Sm  0.0000  0.0000  0.0000  4 Hg 3.32, 4 Ho 3.32
Dy  0.5000  0.5000  0.5000  4 Ho 3.32, 4 Hg 3.32
Ho  0.2500  0.2500  0.2500  4 Dy 3.32, 4 Sm 3.32
Hg  0.7500  0.7500  0.7500  4 Dy 3.32, 4 Sm 3.32

Results
The magnetization is 0.000 μB per formula unit. For the formation energy, the calculation gives -0.057 eV per atom. For the energy relative to the lowest polymorph listed for this composition, the calculation gives 176 meV per atom.

Which value of magnetization does entry 2 give? 0.000 μB per formula unit

What is the formation energy in the first record? -0.049 eV per atom

Copy entry 1 word for word.
A relaxed KAl3Tc crystal. Source: Alexandria via LeMat-Bulk, functional GGA-PBE.

abc: 4.8840 4.8840 4.8840
angles: 90.00 90.00 90.00
With the nearest neighbours (Å) after each atom.
Element x y z (fractional)
K  0.0000  0.0000  0.0000  12 Al 3.45
Al  0.0000  0.5000  0.5000  2 Tc 2.44
Al  0.5000  0.0000  0.5000  2 Tc 2.44
Al  0.5000  0.5000  0.0000  2 Tc 2.44
Tc  0.5000  0.5000  0.5000  6 Al 2.44

Results
The magnetization is 0.000 μB per formula unit. For the formation energy, the calculation gives -0.049 eV per atom. For the energy relative to the lowest polymorph listed for this composition, the calculation gives 0 meV per atom.

Among the records above, which one has the highest formation energy? Tl2Zn